Record 1
# Pr3Nd6Er2Tm (PBE, optimized geometry)
# E_form = 18 meV/atom
# E_tot = -4.693 eV per atom
# Crystal system = monoclinic
# Magnetic moment = 0.00 μB/f.u.
data_Pr3Nd6Er2Tm
_cell_length_a 6.3265
_cell_length_b 10.9632
_cell_length_c 12.0258
_cell_angle_alpha 90.00
_cell_angle_beta 100.11
_cell_angle_gamma 90.00
_space_group_name_H-M_alt 'C 1 2/m 1'
_space_group_IT_number 12
loop_
_space_group_symop_operation_xyz
'x,y,z'
'-x,-y,-z'
'-x,y,-z'
'x,-y,z'
'x+1/2,y+1/2,z'
'-x+1/2,-y+1/2,-z'
'-x+1/2,y+1/2,-z'
'x+1/2,-y+1/2,z'
loop_
_atom_site_label
_atom_site_type_symbol
_atom_site_fract_x
_atom_site_fract_y
_atom_site_fract_z
Pr1 Pr 0.0000 0.0000 0.0000
Pr2 Pr 0.0000 0.3334 0.0000
Nd1 Nd 0.2488 0.0000 0.7438
Nd2 Nd 0.2485 0.3334 0.7438
Er1 Er 0.0000 0.1667 0.5000
Tm1 Tm 0.0000 0.5000 0.5000

---

Record 2
# PrNdEr3Tm (PBE, optimized geometry)
# E_form = 27 meV/atom
# E_tot = -4.591 eV per atom
# Crystal system = orthorhombic
# Magnetic moment = 0.00 μB/f.u.
data_PrNdEr3Tm
_cell_length_a 5.0513
_cell_length_b 15.1298
_cell_length_c 10.1001
_cell_angle_alpha 90.00
_cell_angle_beta 90.00
_cell_angle_gamma 90.00
_space_group_name_H-M_alt 'C m c m'
_space_group_IT_number 63
_space_group_name_Hall '-C 2c 2'
loop_
_atom_site_label
_atom_site_type_symbol
_atom_site_fract_x
_atom_site_fract_y
_atom_site_fract_z
Pr1 Pr 0.0000 0.0000 0.0000
Nd1 Nd 0.0000 0.4999 0.2500
Er1 Er 0.0000 0.1691 0.2500
Er2 Er 0.0000 0.3309 0.0000
Tm1 Tm 0.0000 0.1690 0.7500

---

Record 3
# Pr4Nd2ErTm2 (PBE, optimized geometry)
# E_form = 27 meV/atom
# E_tot = -4.658 eV per atom
# Crystal system = monoclinic
# Magnetic moment = 0.00 μB/f.u.
data_Pr4Nd2ErTm2
_cell_length_a 15.4849
_cell_length_b 5.1601
_cell_length_c 8.0864
_cell_angle_alpha 90.00
_cell_angle_beta 108.66
_cell_angle_gamma 90.00
_space_group_name_H-M_alt 'C 1 2/m 1'
_space_group_IT_number 12
loop_
_space_group_symop_operation_xyz
'x,y,z'
'-x,-y,-z'
'-x,y,-z'
'x,-y,z'
'x+1/2,y+1/2,z'
'-x+1/2,-y+1/2,-z'
'-x+1/2,y+1/2,-z'
'x+1/2,-y+1/2,z'
loop_
_atom_site_label
_atom_site_type_symbol
_atom_site_fract_x
_atom_site_fract_y
_atom_site_fract_z
Pr1 Pr 0.0545 0.0000 0.3290
Pr2 Pr 0.2218 0.5000 0.3289
Nd1 Nd 0.1117 0.5000 0.6710
Er1 Er 0.0000 0.5000 0.0000
Tm1 Tm 0.1669 0.0000 0.9998

---

- Which formula does entry 3 have?
  Pr4Nd2ErTm2

---

- Number 1 is which compound?
  Pr3Nd6Er2Tm